Entry 1:
ZnCrPt PBE relaxed; density = 11.3 g/cm3; energy of formation from the pure elements = -86 meV per atom; final energy = -17.20 eV per formula unit; D(E_F) = 4.4 states/eV/cell
1.0
4.355 0.000 0.000
-2.177 3.771 0.000
0.000 0.000 2.793
Zn Cr Pt
1 1 1
Cartesian
0.000 0.000 0.000 Zn
2.177 1.257 1.382 Cr
0.000 2.514 2.771 Pt

Entry 2:
Mn2NiN2 PBE relaxed; density = 6.5 g/cm3; final energy = -39.46 eV per formula unit; D(E_F) = 5.0 states/eV/cell; formation energy from raw total energies = 0.263 eV per atom
1.0
-1.757 1.757 4.070
1.757 -1.757 4.070
1.757 1.757 -4.070
Mn Ni N
2 1 2
Cartesian
1.757 0.000 2.035 Mn
0.000 1.757 2.035 Mn
0.000 0.000 0.000 Ni
0.000 0.000 2.757 N
0.000 0.000 5.382 N

Entry 3:
CsLiSb2Cl8 PBE relaxed; density = 2.5 g/cm3; final energy = -40.13 eV per formula unit; D(E_F) = 0.0 states/eV/cell; formation energy from raw total energies = -1.195 eV per atom
1.0
6.688 0.000 0.000
1.626 6.877 0.000
0.873 0.592 9.714
Cs Li Sb Cl
1 1 2 8
Cartesian
0.000 0.000 0.000 Cs
0.436 0.296 4.857 Li
4.621 3.789 6.933 Sb
4.566 3.680 2.781 Sb
3.288 6.079 6.678 Cl
3.386 5.993 2.868 Cl
2.985 2.885 5.398 Cl
3.371 3.218 8.957 Cl
5.816 4.251 0.757 Cl
6.201 4.583 4.315 Cl
5.801 1.476 6.846 Cl
5.899 1.390 3.036 Cl

Entry 4:
Ta2TeOs PBE relaxed; density = 15.7 g/cm3; final energy = -37.16 eV per formula unit; D(E_F) = 1.9 states/eV/cell; formation energy from raw total energies = 0.228 eV per atom
1.0
-1.642 2.260 4.846
1.642 -2.260 4.846
1.642 2.260 -4.846
Ta Te Os
2 1 1
Cartesian
0.000 0.000 0.000 Ta
0.000 2.260 2.232 Ta
1.642 0.000 2.499 Te
0.000 0.000 4.750 Os